# 1
A plane-wave DFT calculation with GGA-PBE was carried out for crystalline LiHfZnSn at its relaxed geometry.

Output
ΔE_f	-121	meV/atom

a = 4.7780 Å, b = 4.7780 Å, c = 4.7780 Å
α = 60.00°, β = 60.00°, γ = 60.00°
Element x y z (fractional)
Zn: 0.7500 0.7500 0.7500
Hf: 0.0000 0.0000 0.0000
Sn: 0.2500 0.2500 0.2500
Li: 0.5000 0.5000 0.5000

# 2
A plane-wave DFT calculation with GGA-PBE was carried out for crystalline SiINO2 at its relaxed geometry.

Output
ΔE_f (raw)	1.33	eV/atom

a = 4.0027 Å, b = 4.0027 Å, c = 4.1488 Å
α = 90.00°, β = 90.00°, γ = 90.00°
Element x y z (fractional)
O: 0.0000 0.5000 0.0000
N: 0.0000 0.0000 0.0000
Si: 0.5000 0.5000 0.5000
I: 0.0000 0.0000 0.5000
O: 0.5000 0.0000 0.0000

# 3
A plane-wave DFT calculation with GGA-PBE was carried out for crystalline ZrScTe2 at its relaxed geometry.

Output
ΔE_f (raw)	-0.84	eV/atom
distance to the lowest polymorph of the same formula	0.65	eV per formula unit

a = 3.5939 Å, b = 3.5943 Å, c = 8.0304 Å
α = 63.39°, β = 90.00°, γ = 90.00°
Last column: magnetic moment on the atom in μB.
Element x y z (fractional)
Zr: 0.5000 0.2500 0.2500  0.02
Sc: 0.5000 0.7500 0.7500  0.17
Te: 0.0000 0.9944 0.0056  -0.01
Te: 0.0000 0.5056 0.4944  -0.01

# 4
A plane-wave DFT calculation with GGA-PBE was carried out for crystalline Th2NbP3Ir4 at its relaxed geometry.

Output
ΔE_f	-925	meV/atom

a = 4.1101 Å, b = 4.1101 Å, c = 10.5300 Å
α = 90.00°, β = 90.00°, γ = 90.00°
Element x y z (fractional)
Ir: 0.0000 0.0000 0.0000
P: 0.0000 0.5000 0.1336
Ir: 0.5000 0.0000 0.6415
Th: 0.5000 0.0000 0.2354
P: 0.5000 0.0000 0.8664
Nb: 0.5000 0.5000 0.5000
Ir: 0.0000 0.5000 0.3585
P: 0.0000 0.0000 0.5000
Ir: 0.5000 0.5000 0.0000
Th: 0.0000 0.5000 0.7646

# 5
A plane-wave DFT calculation with GGA-PBE was carried out for crystalline Sr3LaCd at its relaxed geometry.

Output
ΔE_f	759	meV/atom

a = 6.2625 Å, b = 6.2625 Å, c = 6.2625 Å
α = 90.00°, β = 90.00°, γ = 90.00°
Last column: magnetic moment on the atom in μB.
Element x y z (fractional)
La: 0.0000 0.0000 0.0000  0.30
Sr: 0.0000 0.0000 0.5000  0.09
Sr: 0.0000 0.5000 0.0000  0.04
Sr: 0.5000 0.0000 0.0000  0.02
Cd: 0.5000 0.5000 0.5000  -0.01

# 6
A plane-wave DFT calculation with GGA-PBE was carried out for crystalline Sc5Tl4Pt2 at its relaxed geometry.

Output
ΔE_f	-643	meV/atom

a = 3.4243 Å, b = 7.8528 Å, c = 17.7205 Å
α = 90.00°, β = 90.00°, γ = 90.00°
Last column: magnetic moment on the atom in μB.
Element x y z (fractional)
Pt: 0.5000 0.5363 0.6963  0.00
Sc: 0.0000 0.2509 0.7199  0.00
Sc: 0.0000 0.6190 0.5854  0.01
Sc: 0.0000 0.2491 0.2199  0.00
Tl: 0.5000 0.7044 0.4377  0.00
Tl: 0.5000 0.0758 0.3545  0.00
Tl: 0.5000 0.2956 0.5623  0.00
Tl: 0.5000 0.7956 0.9377  0.00
Pt: 0.5000 0.9637 0.1963  0.00
Tl: 0.5000 0.2044 0.0623  0.00
Pt: 0.5000 0.0363 0.8037  0.00
Sc: 0.0000 0.1190 0.9146  0.01
Sc: 0.0000 0.8810 0.0854  0.01
Tl: 0.5000 0.4242 0.8545  0.00
Tl: 0.5000 0.9242 0.6455  0.00
Sc: 0.0000 0.3810 0.4146  0.01
Sc: 0.0000 0.7491 0.2801  0.00
Sc: 0.0000 0.0000 0.5000  0.10
Sc: 0.0000 0.7509 0.7801  0.00
Sc: 0.0000 0.5000 0.0000  0.10
Tl: 0.5000 0.5758 0.1455  0.00
Pt: 0.5000 0.4637 0.3037  0.00

no.,raw total energy (eV/f.u.)
1,-17.630
2,-18.550
3,-24.536
4,-85.830
5,-7.095
6,-60.278